# Tb2CeSmHg4, relaxed, DFT PBE
# formation enthalpy at 0 K	-423	meV/atom
data_Tb2CeSmHg4
_space_group_name_H-M_alt 'R -3 m'
_space_group_IT_number 166
_space_group_name_Hall '-R 3 2"'
_cell_length_a 5.3432
_cell_length_b 5.3432
_cell_length_c 26.1742
_cell_angle_alpha 90.00
_cell_angle_beta 90.00
_cell_angle_gamma 120.00
loop_
_atom_site_label
_atom_site_type_symbol
_atom_site_fract_x
_atom_site_fract_y
_atom_site_fract_z
Tb1 Tb 0.0000 0.0000 0.2492
Ce1 Ce 0.0000 0.0000 0.5000
Sm1 Sm 0.0000 0.0000 0.0000
Hg1 Hg 0.0000 0.0000 0.1238
Hg2 Hg 0.0000 0.0000 0.3740

=====

# La7TbTm3, relaxed, DFT PBE
# excess energy over the best structure of this formula in the dataset	0.0000	eV per atom
# formation enthalpy at 0 K	110	meV/atom
data_La7TbTm3
_space_group_name_H-M_alt 'P 1 21/m 1'
_space_group_IT_number 11
_space_group_name_Hall '-P 2yb'
_cell_length_a 7.069
_cell_length_b 11.399
_cell_length_c 10.308
_cell_angle_alpha 90.00
_cell_angle_beta 109.65
_cell_angle_gamma 90.00
loop_
_atom_site_label
_atom_site_type_symbol
_atom_site_fract_x
_atom_site_fract_y
_atom_site_fract_z
La1 La 0.083 0.019 0.168
La2 La 0.148 0.750 0.318
La3 La 0.202 0.250 0.404
La4 La 0.335 0.750 0.679
La5 La 0.408 0.049 0.818
Tb1 Tb 0.500 0.000 0.500
Tm1 Tm 0.000 0.000 0.500
Tm2 Tm 0.234 0.750 0.984
Tm3 Tm 0.259 0.250 0.023

=====

Sequential electronic total energy output: -3.063; -4.666 eV/atom
Sequential D(E_F) output: 15.91; 18.32 states/eV/f.u.
Sequential total magnetization output: 2.22; 0.00 μB per formula unit